A relaxed structure of AlNiW2O8. Source: Alexandria, functional PBE with a Hubbard U.

Properties
crystal system: triclinic
energy relative to the lowest polymorph listed for this composition: 134 meV per atom

Lattice parameters (Å, degrees): 5.0214 5.5136 5.6583 108.11 92.55 111.63
Space group P-1 (No. 2)
Asymmetric unit:
Al 0.0000 0.0000 0.0000 (multiplicity 1)
Ni 0.5000 0.0000 0.5000 (multiplicity 1)
W 0.2539 0.5013 0.6881 (multiplicity 2)
O 0.1501 0.6951 0.4521 (multiplicity 2)
O 0.2130 0.7796 0.9413 (multiplicity 2)
O 0.2347 0.2417 0.8345 (multiplicity 2)
O 0.3270 0.2749 0.3252 (multiplicity 2)